[1]
LaAgSeO, relaxed, DFT PBE-GGA; calculated volume = 321 Å³/cell; raw total energy = -5.855 eV/atom; symmetry = No. 14; size of the total moment = 0.0 μB per formula unit
1.0
6.255 0.000 0.000
0.000 7.550 0.000
-1.205 0.000 6.807
La Ag Se O
4 4 4 4
Direct
0.112 0.099 0.238
0.112 0.401 0.738
0.888 0.599 0.262
0.888 0.901 0.762
0.413 0.718 0.493
0.413 0.782 0.993
0.587 0.218 0.007
0.587 0.282 0.507
0.359 0.044 0.699
0.359 0.456 0.199
0.641 0.544 0.801
0.641 0.956 0.301
0.040 0.680 0.573
0.040 0.820 0.073
0.960 0.180 0.927
0.960 0.320 0.427

---

[2]
GdTlNO, relaxed, DFT PBE-GGA; calculated volume = 306 Å³/cell; raw total energy = -6.113 eV/atom; symmetry = No. 29; size of the total moment = 0.0 μB per formula unit
1.0
6.780 0.000 0.000
0.000 7.634 0.000
0.000 0.000 5.916
Gd Tl N O
4 4 4 4
Direct
0.083 0.128 0.000
0.417 0.128 0.500
0.583 0.872 0.000
0.917 0.872 0.500
0.088 0.643 0.002
0.412 0.643 0.502
0.588 0.357 0.002
0.912 0.357 0.502
0.098 0.107 0.617
0.402 0.107 0.117
0.598 0.893 0.617
0.902 0.893 0.117
0.061 0.620 0.592
0.439 0.620 0.092
0.561 0.380 0.592
0.939 0.380 0.092